P) Below is a relaxed Ni2Pd2Pt3 crystal, with properties calculated at the PBE level.

Structure (POSCAR):
```
Ni2Pd2Pt3
1.0
-0.797 2.594 0.176
-2.003 1.158 -5.135
-6.218 -0.745 3.824
Pt Pd Ni
3 2 2
Direct
0.328 0.218 0.126
0.672 0.782 0.874
0.000 0.500 0.500
0.449 0.319 0.783
0.551 0.681 0.217
0.764 0.083 0.389
0.236 0.917 0.611
```

Calculated values
- density (g/cm³) = 14.656
- space group = No. 12

Q) Below is a relaxed Ni2Pd2Pt3 crystal, with properties calculated at the PBE level.

Structure (POSCAR):
```
Ni2Pd2Pt3
1.0
4.081 0.000 0.000
0.000 2.704 0.000
-2.040 -1.352 9.301
Ni Pt Pd
2 3 2
Direct
0.153 0.653 0.305
0.847 0.347 0.695
0.000 0.000 0.000
0.708 0.208 0.417
0.292 0.792 0.583
0.427 0.427 0.854
0.573 0.573 0.146
```

Calculated values
- density (g/cm³) = 14.813
- space group = No. 71

Q: Which of them is the most stable? A: Q).

P) Below is a relaxed NiPd7Pt4 crystal, with properties calculated at the PBE level.

Structure (POSCAR):
```
NiPd7Pt4
1.0
1.389 -2.406 0.000
1.389 2.406 0.000
0.000 0.000 27.289
Pd Pt Ni
7 4 1
Direct
0.333 0.667 0.170
0.000 0.000 0.000
0.667 0.333 0.830
0.000 0.000 0.254
0.333 0.667 0.425
0.000 0.000 0.746
0.667 0.333 0.575
0.667 0.333 0.085
0.333 0.667 0.915
0.333 0.667 0.661
0.667 0.333 0.339
0.000 0.000 0.500
```

Calculated values
- density (g/cm³) = 14.422
- space group = No. 164

Q) Below is a relaxed NiPd7Pt4 crystal, with properties calculated at the PBE level.

Structure (POSCAR):
```
NiPd7Pt4
1.0
-0.805 -2.541 -3.805
6.008 -6.236 0.057
-3.247 -4.582 0.911
Pd Pt Ni
7 4 1
Direct
0.362 0.527 0.749
0.797 0.927 0.478
0.203 0.073 0.522
0.925 0.314 0.835
0.500 0.000 0.000
0.075 0.686 0.165
0.638 0.473 0.251
0.583 0.230 0.604
0.732 0.689 0.848
0.268 0.311 0.152
0.417 0.770 0.396
0.000 0.000 0.000
```

Calculated values
- density (g/cm³) = 13.117
- space group = No. 12

Q: Which of them is the most stable? A: P).

P) Below is a relaxed NiPd2Pt4 crystal, with properties calculated at the PBE level.

Structure (POSCAR):
```
NiPd2Pt4
1.0
-1.669 4.236 -0.564
-1.317 0.066 4.394
7.090 0.273 -0.273
Pt Ni Pd
4 1 2
Direct
0.500 0.000 0.000
0.000 0.500 0.000
0.813 0.813 0.627
0.187 0.187 0.373
0.000 0.000 0.000
0.388 0.388 0.776
0.612 0.612 0.224
```

Calculated values
- density (g/cm³) = 13.138
- space group = No. 139

Q) Below is a relaxed NiPd2Pt4 crystal, with properties calculated at the PBE level.

Structure (POSCAR):
```
NiPd2Pt4
1.0
2.713 0.000 -0.358
0.000 3.690 0.000
0.095 0.000 11.178
Pt Pd Ni
4 2 1
Direct
0.370 0.000 0.740
0.061 0.500 0.123
0.939 0.500 0.877
0.630 0.000 0.260
0.803 0.500 0.605
0.197 0.500 0.395
0.500 0.000 0.000
```

Calculated values
- density (g/cm³) = 15.592
- space group = No. 65

Q: Which of them is the most stable? A: Q).